PaAsRh2: optimized geometry, GGA-PBE.

a = 3.9717 Å, b = 6.9086 Å, c = 5.6069 Å
α = 90.00°, β = 109.87°, γ = 90.00°
Positions (direct):
Pa (0.0798, 0.2500, 0.1122)
Pa (0.9202, 0.7500, 0.8878)
As (0.1834, 0.7500, 0.4571)
As (0.8166, 0.2500, 0.5429)
Rh (0.4442, 0.0457, 0.7440)
Rh (0.4442, 0.4543, 0.7440)
Rh (0.5558, 0.5457, 0.2560)
Rh (0.5558, 0.9543, 0.2560)

ΔE_f = -3.313 eV per formula unit
VASP energy = -8.040 eV per atom
Relative energy among the computed polymorphs = 0 meV/atom
Total magnetization = 0.000 μB per formula unit
Fermi-level density of states = 0.58 states/eV/atom

Pa2As7Rh12: optimized geometry, GGA-PBE.

a = 10.0516 Å, b = 10.0516 Å, c = 3.8948 Å
α = 90.00°, β = 90.00°, γ = 120.00°
Positions (direct):
Pa (0.3333, 0.6667, 0.2492)
Pa (0.6667, 0.3333, 0.7508)
As (0.0000, 0.0000, 0.5000)
As (0.1125, 0.3995, 0.7493)
As (0.2871, 0.8875, 0.7493)
As (0.3995, 0.2871, 0.2507)
As (0.6005, 0.7129, 0.7493)
As (0.7129, 0.1125, 0.2507)
As (0.8875, 0.6005, 0.2507)
Rh (0.0787, 0.6208, 0.7506)
Rh (0.1179, 0.8551, 0.2457)
Rh (0.1449, 0.2629, 0.2457)
Rh (0.2629, 0.1179, 0.7543)
Rh (0.3792, 0.4579, 0.7506)
Rh (0.4579, 0.0787, 0.2494)
Rh (0.5421, 0.9213, 0.7506)
Rh (0.6208, 0.5421, 0.2494)
Rh (0.7371, 0.8821, 0.2457)
Rh (0.8551, 0.7371, 0.7543)
Rh (0.8821, 0.1449, 0.7543)
Rh (0.9213, 0.3792, 0.2494)

ΔE_f = -13.399 eV per formula unit
VASP energy = -7.293 eV per atom
Total magnetization = 0.000 μB per formula unit
Fermi-level density of states = 0.73 states/eV/atom

Pa3As4Rh3: optimized geometry, GGA-PBE.

a = 8.0164 Å, b = 8.0164 Å, c = 8.0164 Å
α = 109.47°, β = 109.47°, γ = 109.47°
Positions (direct):
Pa (0.1250, 0.8750, 0.2500)
Pa (0.2500, 0.1250, 0.8750)
Pa (0.3750, 0.6250, 0.7500)
Pa (0.6250, 0.7500, 0.3750)
Pa (0.7500, 0.3750, 0.6250)
Pa (0.8750, 0.2500, 0.1250)
As (0.0000, 0.1734, 0.5000)
As (0.0000, 0.6734, 0.5000)
As (0.1734, 0.5000, 0.0000)
As (0.3266, 0.3266, 0.3266)
As (0.5000, 0.0000, 0.1734)
As (0.5000, 0.0000, 0.6734)
As (0.6734, 0.5000, 0.0000)
As (0.8266, 0.8266, 0.8266)
Rh (0.1250, 0.7500, 0.8750)
Rh (0.2500, 0.6250, 0.3750)
Rh (0.3750, 0.2500, 0.6250)
Rh (0.6250, 0.3750, 0.2500)
Rh (0.7500, 0.8750, 0.1250)
Rh (0.8750, 0.1250, 0.7500)

ΔE_f = -9.915 eV per formula unit
VASP energy = -7.905 eV per atom
Total magnetization = 0.000 μB per formula unit

PaAs2RuRh2: optimized geometry, GGA-PBE.

a = 3.7765 Å, b = 7.9876 Å, c = 6.9411 Å
α = 90.00°, β = 90.00°, γ = 90.00°
Positions (direct):
Pa (0.0000, 0.0783, 0.0000)
Pa (0.0000, 0.9217, 0.5000)
As (0.0000, 0.3915, 0.7571)
As (0.0000, 0.6085, 0.2571)
As (0.5000, 0.1630, 0.3159)
As (0.5000, 0.8370, 0.8159)
Ru (0.5000, 0.1466, 0.6903)
Ru (0.5000, 0.8534, 0.1903)
Rh (0.0000, 0.3387, 0.4100)
Rh (0.0000, 0.6613, 0.9100)
Rh (0.5000, 0.3642, 0.0274)
Rh (0.5000, 0.6358, 0.5274)

ΔE_f = -3.327 eV per formula unit
VASP energy = -7.683 eV per atom
Total magnetization = 0.000 μB per formula unit
Fermi-level density of states = 0.48 states/eV/atom

PaAsRhS: optimized geometry, GGA-PBE.

a = 4.1434 Å, b = 4.1434 Å, c = 8.5826 Å
α = 90.00°, β = 90.00°, γ = 90.00°
Positions (direct):
Pa (0.2500, 0.2500, 0.2128)
Pa (0.7500, 0.7500, 0.7872)
As (0.2500, 0.2500, 0.6763)
As (0.7500, 0.7500, 0.3237)
Rh (0.2500, 0.7500, 0.5000)
Rh (0.7500, 0.2500, 0.5000)
S (0.2500, 0.7500, 0.0000)
S (0.7500, 0.2500, 0.0000)

VASP energy = -7.498 eV per atom
Total magnetization = 0.000 μB per formula unit
Fermi-level density of states = 0.90 states/eV/atom
Raw formation energy = -1092 meV per atom

Sm2PaAs3Rh4: optimized geometry, GGA-PBE.

a = 4.1855 Å, b = 4.1855 Å, c = 11.2151 Å
α = 90.00°, β = 90.00°, γ = 90.00°
Positions (direct):
Sm (0.0000, 0.5000, 0.2152)
Sm (0.5000, 0.0000, 0.7848)
Pa (0.0000, 0.0000, 0.5000)
As (0.0000, 0.5000, 0.8686)
As (0.5000, 0.0000, 0.1314)
As (0.5000, 0.5000, 0.5000)
Rh (0.0000, 0.0000, 0.0000)
Rh (0.0000, 0.5000, 0.6497)
Rh (0.5000, 0.0000, 0.3503)
Rh (0.5000, 0.5000, 0.0000)

ΔE_f = -9.250 eV per formula unit
VASP energy = -7.154 eV per atom
Total magnetization = 0.000 μB per formula unit
Fermi-level density of states = 0.66 states/eV/atom

SmPaAs2Rh5: optimized geometry, GGA-PBE.

a = 4.0213 Å, b = 4.0213 Å, c = 12.5670 Å
α = 90.00°, β = 90.00°, γ = 90.00°
Positions (direct):
Sm (0.0000, 0.0000, 0.0000)
Pa (0.5000, 0.5000, 0.5000)
As (0.5000, 0.5000, 0.2764)
As (0.5000, 0.5000, 0.7236)
Rh (0.0000, 0.5000, 0.1703)
Rh (0.0000, 0.5000, 0.8297)
Rh (0.5000, 0.0000, 0.1703)
Rh (0.5000, 0.0000, 0.8297)
Rh (0.5000, 0.5000, 0.0000)

ΔE_f = -0.714 eV per formula unit
VASP energy = -6.776 eV per atom
Total magnetization = 1.767 μB per formula unit
Fermi-level density of states = 1.23 states/eV/atom

PaSn2As2Rh7: optimized geometry, GGA-PBE.

a = 3.9377 Å, b = 3.9377 Å, c = 14.5170 Å
α = 95.38°, β = 95.38°, γ = 89.97°
Positions (direct):
Pa (0.0000, 0.0000, 0.0000)
Sn (0.1261, 0.1261, 0.4040)
Sn (0.8739, 0.8739, 0.5960)
As (0.4141, 0.4141, 0.7526)
As (0.5859, 0.5859, 0.2474)
Rh (0.0507, 0.5505, 0.1459)
Rh (0.3688, 0.3688, 0.5815)
Rh (0.4495, 0.9493, 0.8541)
Rh (0.5000, 0.5000, 0.0000)
Rh (0.5505, 0.0507, 0.1459)
Rh (0.6312, 0.6312, 0.4185)
Rh (0.9493, 0.4495, 0.8541)

ΔE_f = -5.775 eV per formula unit
VASP energy = -7.003 eV per atom
Total magnetization = 0.000 μB per formula unit
Fermi-level density of states = 0.72 states/eV/atom

Sr2PaAs3Rh4: optimized geometry, GGA-PBE.

a = 4.2510 Å, b = 4.2510 Å, c = 11.3077 Å
α = 90.00°, β = 90.00°, γ = 90.00°
Positions (direct):
Sr (0.0000, 0.5000, 0.2257)
Sr (0.5000, 0.0000, 0.7743)
Pa (0.0000, 0.0000, 0.5000)
As (0.0000, 0.5000, 0.8737)
As (0.5000, 0.0000, 0.1263)
As (0.5000, 0.5000, 0.5000)
Rh (0.0000, 0.0000, 0.0000)
Rh (0.0000, 0.5000, 0.6469)
Rh (0.5000, 0.0000, 0.3531)
Rh (0.5000, 0.5000, 0.0000)

ΔE_f = -7.914 eV per formula unit
VASP energy = -6.413 eV per atom
Total magnetization = 0.000 μB per formula unit
Fermi-level density of states = 0.69 states/eV/atom

Th2PaAs3Rh4: optimized geometry, GGA-PBE.

a = 4.2356 Å, b = 4.2356 Å, c = 11.0761 Å
α = 90.00°, β = 90.00°, γ = 90.00°
Positions (direct):
Th (0.0000, 0.5000, 0.2208)
Th (0.5000, 0.0000, 0.7792)
Pa (0.0000, 0.0000, 0.5000)
As (0.0000, 0.5000, 0.8724)
As (0.5000, 0.0000, 0.1276)
As (0.5000, 0.5000, 0.5000)
Rh (0.0000, 0.0000, 0.0000)
Rh (0.0000, 0.5000, 0.6528)
Rh (0.5000, 0.0000, 0.3472)
Rh (0.5000, 0.5000, 0.0000)

ΔE_f = -9.071 eV per formula unit
VASP energy = -7.676 eV per atom
Total magnetization = 0.024 μB per formula unit
Fermi-level density of states = 0.92 states/eV/atom

TmPaAs2Rh5: optimized geometry, GGA-PBE.

a = 3.9659 Å, b = 3.9659 Å, c = 11.5438 Å
α = 90.00°, β = 90.00°, γ = 90.00°
Positions (direct):
Tm (0.0000, 0.0000, 0.0000)
Pa (0.5000, 0.5000, 0.5000)
As (0.5000, 0.5000, 0.2063)
As (0.5000, 0.5000, 0.7937)
Rh (0.0000, 0.5000, 0.3356)
Rh (0.0000, 0.5000, 0.6644)
Rh (0.5000, 0.0000, 0.3356)
Rh (0.5000, 0.0000, 0.6644)
Rh (0.5000, 0.5000, 0.0000)

ΔE_f = -4.475 eV per formula unit
VASP energy = -7.166 eV per atom
Total magnetization = 0.000 μB per formula unit
Fermi-level density of states = 0.84 states/eV/atom

PaZnAs2Rh5: optimized geometry, GGA-PBE.

a = 4.1186 Å, b = 4.1186 Å, c = 8.5778 Å
α = 90.00°, β = 90.00°, γ = 90.00°
Positions (direct):
Pa (0.0000, 0.0000, 0.0000)
Zn (0.0000, 0.0000, 0.5000)
As (0.5000, 0.5000, 0.1422)
As (0.5000, 0.5000, 0.8578)
Rh (0.0000, 0.5000, 0.2859)
Rh (0.0000, 0.5000, 0.7141)
Rh (0.5000, 0.0000, 0.2859)
Rh (0.5000, 0.0000, 0.7141)
Rh (0.5000, 0.5000, 0.5000)

ΔE_f = -4.438 eV per formula unit
VASP energy = -6.807 eV per atom
Total magnetization = 0.000 μB per formula unit
Fermi-level density of states = 0.75 states/eV/atom

Pa2As3Ru5: optimized geometry, GGA-PBE.

a = 12.3384 Å, b = 12.3384 Å, c = 6.7389 Å
α = 90.00°, β = 90.00°, γ = 160.65°
Positions (direct):
Pa (0.0164, 0.9836, 0.5000)
Pa (0.3264, 0.6736, 0.5072)
Pa (0.6736, 0.3264, 0.0072)
Pa (0.9836, 0.0164, 0.0000)
As (0.1112, 0.8888, 0.2676)
As (0.2683, 0.7317, 0.0194)
As (0.4508, 0.5492, 0.2778)
As (0.5492, 0.4508, 0.7778)
As (0.7317, 0.2683, 0.5194)
As (0.8888, 0.1112, 0.7676)
Ru (0.1018, 0.8982, 0.8481)
Ru (0.2043, 0.7957, 0.7312)
Ru (0.2107, 0.7893, 0.3188)
Ru (0.3698, 0.6302, 0.0323)
Ru (0.4447, 0.5553, 0.6523)
Ru (0.5553, 0.4447, 0.1523)
Ru (0.6302, 0.3698, 0.5323)
Ru (0.7893, 0.2107, 0.8188)
Ru (0.7957, 0.2043, 0.2312)
Ru (0.8982, 0.1018, 0.3481)

ΔE_f = -5.178 eV per formula unit
VASP energy = -8.450 eV per atom
Total magnetization = 0.000 μB per formula unit
Fermi-level density of states = 0.62 states/eV/atom

PaAs2Ru2: optimized geometry, GGA-PBE.

a = 4.2678 Å, b = 4.2678 Å, c = 9.6993 Å
α = 90.00°, β = 90.00°, γ = 90.00°
Positions (direct):
Pa (0.2500, 0.2500, 0.2472)
Pa (0.7500, 0.7500, 0.7528)
As (0.2500, 0.2500, 0.8656)
As (0.2500, 0.7500, 0.5000)
As (0.7500, 0.2500, 0.5000)
As (0.7500, 0.7500, 0.1344)
Ru (0.2500, 0.2500, 0.6202)
Ru (0.2500, 0.7500, 0.0000)
Ru (0.7500, 0.2500, 0.0000)
Ru (0.7500, 0.7500, 0.3798)

ΔE_f = -3.142 eV per formula unit
VASP energy = -8.098 eV per atom
Total magnetization = 0.000 μB per formula unit
Fermi-level density of states = 0.70 states/eV/atom

PaAsRu: optimized geometry, GGA-PBE.

a = 4.4966 Å, b = 4.4966 Å, c = 4.4966 Å
α = 60.00°, β = 60.00°, γ = 60.00°
Positions (direct):
Pa (0.0000, 0.0000, 0.0000)
As (0.5000, 0.5000, 0.5000)
Ru (0.7500, 0.7500, 0.7500)

ΔE_f = -1.824 eV per formula unit
VASP energy = -8.415 eV per atom
Total magnetization = 0.000 μB per formula unit
Fermi-level density of states = 0.16 states/eV/atom

PaAs2Ru2: optimized geometry, GGA-PBE.

a = 6.7887 Å, b = 6.7887 Å, c = 5.5155 Å
α = 107.33°, β = 107.33°, γ = 113.46°
Positions (direct):
Pa (0.1077, 0.8923, 0.7500)
Pa (0.8923, 0.1077, 0.2500)
As (0.1872, 0.8128, 0.2500)
As (0.3661, 0.6339, 0.7500)
As (0.6339, 0.3661, 0.2500)
As (0.8128, 0.1872, 0.7500)
Ru (0.2641, 0.3597, 0.9735)
Ru (0.3597, 0.2641, 0.4735)
Ru (0.6403, 0.7359, 0.5265)
Ru (0.7359, 0.6403, 0.0265)

ΔE_f = -2.058 eV per formula unit
VASP energy = -7.881 eV per atom
Total magnetization = 0.000 μB per formula unit
Fermi-level density of states = 1.14 states/eV/atom

Pa3As3Ru2: optimized geometry, GGA-PBE.

a = 5.6736 Å, b = 5.6736 Å, c = 14.5032 Å
α = 90.00°, β = 90.00°, γ = 136.98°
Positions (direct):
Pa (0.0784, 0.9216, 0.6067)
Pa (0.0784, 0.9216, 0.8933)
Pa (0.3488, 0.6512, 0.7500)
Pa (0.6512, 0.3488, 0.2500)
Pa (0.9216, 0.0784, 0.1067)
Pa (0.9216, 0.0784, 0.3933)
As (0.3703, 0.6297, 0.2500)
As (0.3767, 0.6233, 0.5433)
As (0.3767, 0.6233, 0.9567)
As (0.6233, 0.3767, 0.0433)
As (0.6233, 0.3767, 0.4567)
As (0.6297, 0.3703, 0.7500)
Ru (0.2204, 0.7796, 0.1111)
Ru (0.2204, 0.7796, 0.3889)
Ru (0.7796, 0.2204, 0.6111)
Ru (0.7796, 0.2204, 0.8889)

ΔE_f = -6.267 eV per formula unit
VASP energy = -8.407 eV per atom
Total magnetization = 0.005 μB per formula unit
Fermi-level density of states = 0.99 states/eV/atom

Pa2AsRu3: optimized geometry, GGA-PBE.

a = 5.0485 Å, b = 5.0485 Å, c = 5.0485 Å
α = 67.77°, β = 67.77°, γ = 67.77°
Positions (direct):
Pa (0.1240, 0.1240, 0.1240)
Pa (0.8760, 0.8760, 0.8760)
As (0.5000, 0.5000, 0.5000)
Ru (0.0000, 0.5000, 0.5000)
Ru (0.5000, 0.0000, 0.5000)
Ru (0.5000, 0.5000, 0.0000)

ΔE_f = -3.706 eV per formula unit
VASP energy = -9.196 eV per atom
Total magnetization = 0.000 μB per formula unit
Fermi-level density of states = 0.62 states/eV/atom

Pa4As6Ru7: optimized geometry, GGA-PBE.

a = 7.2640 Å, b = 7.2640 Å, c = 7.2640 Å
α = 109.47°, β = 109.47°, γ = 109.47°
Positions (direct):
Pa (0.0000, 0.0000, 0.5000)
Pa (0.0000, 0.5000, 0.0000)
Pa (0.5000, 0.0000, 0.0000)
Pa (0.5000, 0.5000, 0.5000)
As (0.0000, 0.3104, 0.3104)
As (0.0000, 0.6896, 0.6896)
As (0.3104, 0.0000, 0.3104)
As (0.3104, 0.3104, 0.0000)
As (0.6896, 0.0000, 0.6896)
As (0.6896, 0.6896, 0.0000)
Ru (0.0000, 0.0000, 0.0000)
Ru (0.2500, 0.5000, 0.7500)
Ru (0.2500, 0.7500, 0.5000)
Ru (0.5000, 0.2500, 0.7500)
Ru (0.5000, 0.7500, 0.2500)
Ru (0.7500, 0.2500, 0.5000)
Ru (0.7500, 0.5000, 0.2500)

ΔE_f = -12.882 eV per formula unit
VASP energy = -8.453 eV per atom
Total magnetization = 0.000 μB per formula unit
Fermi-level density of states = 0.78 states/eV/atom

PaAsRu: optimized geometry, GGA-PBE.

a = 4.3362 Å, b = 4.3362 Å, c = 3.5242 Å
α = 90.00°, β = 90.00°, γ = 120.00°
Positions (direct):
Pa (0.0000, 0.0000, 0.0000)
As (0.3333, 0.6667, 0.5013)
Ru (0.6667, 0.3333, 0.4984)

ΔE_f = -2.459 eV per formula unit
VASP energy = -8.627 eV per atom
Total magnetization = 0.000 μB per formula unit
Fermi-level density of states = 0.31 states/eV/atom